Record 1
Below is a relaxed structure of CdMoP2, with properties calculated at the PBEsol level.

Geometry as extended XYZ:
```
4
Lattice="3.308 0.000 0.000 0.000 4.458 0.000 -1.646 0.000 4.430" Properties=species:S:1:pos:R:3 pbc="T T T"
Cd 0.000 0.000 0.000
Mo 1.653 2.229 1.015
P -0.001 2.229 2.854
P 1.653 0.000 2.002
```

Calculated values
Formation energy from the elements: 0.0782 eV per atom
Energy: -6.06 eV per atom

=====

Record 2
Below is a relaxed structure of CdMoP2, with properties calculated at the PBEsol level.

Geometry as extended XYZ:
```
4
Lattice="3.129 0.000 0.000 0.000 3.128 0.000 -0.389 0.000 6.386" Properties=species:S:1:pos:R:3 pbc="T T T"
Cd 0.000 0.000 0.000
Mo -0.195 0.000 3.193
P 1.380 1.564 1.912
P 1.360 1.564 4.474
```

Calculated values
Formation energy from the elements: -0.1843 eV per atom
Energy: -6.32 eV per atom

=====

Record 3
Below is a relaxed structure of CdMoP2, with properties calculated at the PBEsol level.

Geometry as extended XYZ:
```
8
Lattice="3.237 0.000 0.000 0.000 4.624 0.000 0.000 0.000 9.528" Properties=species:S:1:pos:R:3 pbc="T T T"
Cd 0.000 0.000 0.000
Cd 1.618 2.312 0.000
Mo 0.000 0.000 4.764
Mo 1.618 2.312 4.764
P 0.000 2.312 2.955
P 0.000 2.312 6.573
P 1.618 0.000 2.955
P 1.618 0.000 6.573
```

Calculated values
Formation energy from the elements: 0.1467 eV per atom
Energy: -5.99 eV per atom

=====

Record 4
Below is a relaxed structure of Sr2CdMoP, with properties calculated at the PBEsol level.

Geometry as extended XYZ:
```
5
Lattice="5.494 0.000 0.000 0.000 5.494 0.000 0.000 0.000 5.120" Properties=species:S:1:pos:R:3 pbc="T T T"
Sr 0.000 2.747 0.000
Sr 2.747 0.000 0.000
Cd 0.000 0.000 2.560
Mo 0.000 0.000 0.000
P 2.747 2.747 2.560
```

Calculated values
Formation energy from the elements: 1.0360 eV per atom
Energy: -3.45 eV per atom

=====

Record 5
Below is a relaxed structure of CdMoPb, with properties calculated at the PBEsol level.

Geometry as extended XYZ:
```
3
Lattice="3.094 0.000 0.000 -1.547 2.680 0.000 0.000 0.000 7.475" Properties=species:S:1:pos:R:3 pbc="T T T"
Cd 0.000 0.000 0.000
Mo 0.000 1.786 5.220
Pb 1.547 0.893 2.834
```

Calculated values
Polymorph energy (0 for the lowest one): 0 meV/atom
Formation energy from the elements: 0.6471 eV per atom
Energy: -5.01 eV per atom

=====

Record 6
Below is a relaxed structure of CdMoPb, with properties calculated at the PBEsol level.

Geometry as extended XYZ:
```
6
Lattice="3.093 0.000 0.000 0.000 3.940 0.000 0.000 0.000 9.831" Properties=species:S:1:pos:R:3 pbc="T T T"
Cd 0.000 0.000 0.000
Cd 1.546 1.970 4.915
Mo 0.000 0.000 6.380
Mo 1.546 1.970 1.465
Pb 0.000 0.000 3.100
Pb 1.546 1.970 8.015
```

Calculated values
Polymorph energy (0 for the lowest one): 56 meV/atom
Formation energy from the elements: 0.7032 eV per atom
Energy: -4.95 eV per atom

=====

Record 7
Below is a relaxed structure of CdMo2Pb, with properties calculated at the PBEsol level.

Geometry as extended XYZ:
```
8
Lattice="3.349 0.000 0.000 0.000 4.690 0.000 0.000 0.000 9.282" Properties=species:S:1:pos:R:3 pbc="T T T"
Cd 0.000 0.000 0.000
Cd 1.675 2.345 4.641
Mo 0.000 2.345 2.281
Mo 0.000 2.345 7.001
Mo 1.675 0.000 2.360
Mo 1.675 0.000 6.922
Pb 0.000 0.000 4.641
Pb 1.675 2.345 0.000
```

Calculated values
Polymorph energy (0 for the lowest one): 270 meV/atom
Formation energy from the elements: 0.7163 eV per atom
Energy: -6.47 eV per atom

=====

Record 8
Below is a relaxed structure of CdMo2Pb, with properties calculated at the PBEsol level.

Geometry as extended XYZ:
```
8
Lattice="3.269 0.000 0.000 0.000 4.916 0.000 0.000 0.000 9.894" Properties=species:S:1:pos:R:3 pbc="T T T"
Cd 0.000 0.000 0.000
Cd 1.635 2.458 0.000
Mo 0.000 0.000 5.619
Mo 0.000 2.458 7.504
Mo 1.635 0.000 7.504
Mo 1.635 2.458 5.619
Pb 0.000 2.458 3.051
Pb 1.635 0.000 3.051
```

Calculated values
Polymorph energy (0 for the lowest one): 0 meV/atom
Formation energy from the elements: 0.4465 eV per atom
Energy: -6.74 eV per atom

=====

Record 9
Below is a relaxed structure of CdMoPt2, with properties calculated at the PBEsol level.

Geometry as extended XYZ:
```
16
Lattice="6.326 0.000 0.000 0.000 6.326 0.000 0.000 0.000 6.326" Properties=species:S:1:pos:R:3 pbc="T T T"
Cd 0.000 0.000 0.000
Cd 0.000 3.163 3.163
Cd 3.163 0.000 3.163
Cd 3.163 3.163 0.000
Mo 1.582 1.582 4.745
Mo 1.582 4.745 1.582
Mo 4.745 1.582 1.582
Mo 4.745 4.745 4.745
Pt 0.000 0.000 3.163
Pt 0.000 3.163 0.000
Pt 1.582 1.582 1.582
Pt 1.582 4.745 4.745
Pt 3.163 0.000 0.000
Pt 3.163 3.163 3.163
Pt 4.745 1.582 4.745
Pt 4.745 4.745 1.582
```

Calculated values
Formation energy from the elements: 0.0955 eV per atom
Energy: -6.63 eV per atom

=====

Record 10
Below is a relaxed structure of CdMoPt2, with properties calculated at the PBEsol level.

Geometry as extended XYZ:
```
4
Lattice="2.795 0.000 0.000 0.000 2.795 0.000 0.000 0.000 8.076" Properties=species:S:1:pos:R:3 pbc="T T T"
Cd 0.000 0.000 0.000
Mo 0.000 0.000 4.038
Pt 1.397 1.397 2.173
Pt 1.397 1.397 5.903
```

Calculated values
Formation energy from the elements: -0.3495 eV per atom
Energy: -7.07 eV per atom

=====

Record 11
Below is a relaxed structure of CdMo4Pt, with properties calculated at the PBEsol level.

Geometry as extended XYZ:
```
6
Lattice="0.000 3.657 3.657 3.657 0.000 3.657 3.657 3.657 0.000" Properties=species:S:1:pos:R:3 pbc="T T T"
Cd 0.000 0.000 0.000
Mo 4.581 2.733 2.733
Mo 2.733 4.581 2.733
Mo 2.733 2.733 4.581
Mo 4.581 4.581 4.581
Pt 1.828 1.828 1.828
```

Calculated values
Formation energy from the elements: 0.3548 eV per atom
Energy: -8.85 eV per atom

=====

Record 12
Below is a relaxed structure of CdMo2Pt, with properties calculated at the PBEsol level.

Geometry as extended XYZ:
```
8
Lattice="3.793 0.000 0.000 0.000 3.793 0.000 0.000 0.000 8.769" Properties=species:S:1:pos:R:3 pbc="T T T"
Cd 0.000 0.000 0.000
Cd 1.897 1.897 4.384
Mo 0.000 1.897 2.192
Mo 0.000 1.897 6.577
Mo 1.897 0.000 2.192
Mo 1.897 0.000 6.577
Pt 0.000 0.000 4.384
Pt 1.897 1.897 0.000
```

Calculated values
Formation energy from the elements: 0.1096 eV per atom
Energy: -7.81 eV per atom